1.
DFT (PBE) results for an optimized crystal structure of Tc3GeC.

Cell and atoms, written as POSCAR:
```
Tc3GeC
1.0
3.3465 0.0000 0.0000
0.0000 6.4514 -0.0627
0.0000 -1.5058 6.4034
Tc Ge C
6 2 2
direct
0.2500 0.3652 0.6322
0.7500 0.6348 0.3678
0.2500 0.9669 0.6640
0.7500 0.0331 0.3360
0.2500 0.6797 0.0342
0.7500 0.3203 0.9658
0.2500 0.3059 0.2384
0.7500 0.6941 0.7616
0.2500 0.8250 0.3532
0.7500 0.1750 0.6468
```

Summary:
Magnetization   0.00 μB per formula unit
E   -88.126 eV/cell
ΔH_f (0 K)   0.876 eV per formula unit

2.
DFT (PBE) results for an optimized crystal structure of TcGeC2.

Cell and atoms, written as POSCAR:
```
TcGeC2
1.0
-1.7688 3.1048 -3.1082
-1.3804 -3.5737 -2.7843
-5.5421 -0.3619 -0.8157
Ge C Tc
2 4 2
direct
0.5000 0.5000 0.0000
0.2500 0.7500 0.5000
0.3750 0.3718 0.7500
0.1218 0.6250 0.2500
0.8750 0.8782 0.7500
0.6282 0.1250 0.2500
0.0000 0.0000 0.0000
0.7500 0.2500 0.5000
```

Summary:
Magnetization   0.00 μB per formula unit
E   -60.375 eV/cell
ΔH_f (0 K)   3.244 eV per formula unit

3.
DFT (PBE) results for an optimized crystal structure of ThTc2GeC.

Cell and atoms, written as POSCAR:
```
ThTc2GeC
1.0
4.0075 0.0000 0.0000
-2.0037 5.6220 0.0000
0.0000 0.0000 7.4782
Th Ge Tc C
2 2 4 2
direct
0.4544 0.9087 0.7500
0.5456 0.0913 0.2500
0.7339 0.4678 0.7500
0.2661 0.5322 0.2500
0.8323 0.6646 0.4394
0.1677 0.3354 0.9394
0.1677 0.3354 0.5606
0.8323 0.6646 0.0606
0.0000 0.0000 0.5000
0.0000 0.0000 0.0000
```

Summary:
Magnetization   0.00 μB per formula unit
E   -88.054 eV/cell
ΔH_f (0 K)   -2.034 eV per formula unit

4.
DFT (PBE) results for an optimized crystal structure of ThTc2Ge2C.

Cell and atoms, written as POSCAR:
```
ThTc2Ge2C
1.0
-0.4799 -2.6101 3.2892
4.1985 -0.2468 0.4168
-0.0842 4.2710 3.3770
Ge Tc Th C
2 2 1 1
direct
0.5000 0.5000 0.2767
0.5000 0.5000 0.7233
0.5000 0.0000 0.0000
0.0000 0.5000 0.0000
0.0000 0.0000 0.5000
0.0000 0.0000 0.0000
```

Summary:
Magnetization   0.00 μB per formula unit
E   -49.040 eV/cell
ΔH_f (0 K)   -2.429 eV per formula unit

5.
DFT (PBE) results for an optimized crystal structure of TiTc2GeC.

Cell and atoms, written as POSCAR:
```
TiTc2GeC
1.0
-0.1979 -3.1957 -2.5609
3.5247 -1.3772 1.4462
-2.0114 -2.1574 2.8477
C Ge Ti Tc
1 1 1 2
direct
0.0000 0.0000 0.0000
0.5000 0.5000 0.5000
0.0000 0.5000 0.0000
0.0000 0.0000 0.5000
0.5000 0.0000 0.0000
```

Summary:
Magnetization   0.00 μB per formula unit
E   -43.096 eV/cell
ΔH_f (0 K)   -0.628 eV per formula unit

6.
DFT (PBE) results for an optimized crystal structure of Tm2Tc2Ge2C.

Cell and atoms, written as POSCAR:
```
Tm2Tc2Ge2C
1.0
3.9726 0.0000 0.0000
1.9863 5.4551 -0.3117
1.9863 1.7373 5.5303
Tm C Tc Ge
2 1 2 2
direct
0.5669 0.1556 0.7106
0.4331 0.8444 0.2894
0.0000 0.0000 0.0000
0.7977 0.3177 0.0870
0.2023 0.6823 0.9130
0.1453 0.3838 0.3256
0.8547 0.6162 0.6744
```

Summary:
Magnetization   0.00 μB per formula unit
E   -52.222 eV/cell
ΔH_f (0 K)   -4.088 eV per formula unit

7.
DFT (PBE) results for an optimized crystal structure of U2Tc2Ge2C.

Cell and atoms, written as POSCAR:
```
U2Tc2Ge2C
1.0
-2.4761 -3.2233 0.4168
3.0702 -4.7342 1.6542
-0.8885 -1.1515 5.8434
Ge U Tc C
2 2 2 1
direct
0.8522 0.6243 0.6714
0.1478 0.3757 0.3286
0.5572 0.1616 0.7239
0.4428 0.8384 0.2761
0.2044 0.6870 0.9042
0.7956 0.3130 0.0958
0.0000 0.0000 0.0000
```

Summary:
Magnetization   4.29 μB per formula unit
E   -63.362 eV/cell
ΔH_f (0 K)   -1.595 eV per formula unit

8.
DFT (PBE) results for an optimized crystal structure of VTc2GeC.

Cell and atoms, written as POSCAR:
```
VTc2GeC
1.0
-0.3450 -1.8687 3.6225
-0.0837 -3.6314 -1.8813
3.9014 -0.2229 0.2565
Tc C V Ge
2 1 1 1
direct
0.0000 0.5000 0.0000
0.5000 0.0000 0.0000
0.0000 0.0000 0.0000
0.0000 0.0000 0.5000
0.5000 0.5000 0.5000
```

Summary:
Magnetization   0.00 μB per formula unit
E   -43.646 eV/cell
ΔH_f (0 K)   0.046 eV per formula unit